# K2OsBr, relaxed, DFT PBE-GGA
data_K2OsBr
_cell_length_a 7.798
_cell_length_b 3.286
_cell_length_c 9.618
_cell_angle_alpha 90.00
_cell_angle_beta 97.00
_cell_angle_gamma 90.00
_space_group_name_H-M_alt 'C 1 2/m 1'
_space_group_IT_number 12
_space_group_name_Hall '-C 2y'
loop_
_atom_site_label
_atom_site_type_symbol
_atom_site_fract_x
_atom_site_fract_y
_atom_site_fract_z
K1 K 0.243 0.000 0.231
Os1 Os 0.000 0.000 0.500
Br1 Br 0.000 0.500 0.000
# E_form (uncorrected): 0.57 eV/atom
# crystal system: monoclinic
# final energy: -3.20 eV/atom
# ΔE to the lowest computed polymorph: 0.097 eV/atom


# K2OsBr, relaxed, DFT PBE-GGA
data_K2OsBr
_cell_length_a 12.766
_cell_length_b 3.387
_cell_length_c 5.940
_cell_angle_alpha 90.00
_cell_angle_beta 90.11
_cell_angle_gamma 90.00
_space_group_name_H-M_alt 'C 1 m 1'
_space_group_IT_number 8
_space_group_name_Hall 'C -2y'
loop_
_atom_site_label
_atom_site_type_symbol
_atom_site_fract_x
_atom_site_fract_y
_atom_site_fract_z
K1 K 0.000 0.000 0.000
K2 K 0.237 0.000 0.498
Os1 Os 0.498 0.000 0.500
Br1 Br 0.230 0.500 0.998
# E_form (uncorrected): 0.61 eV/atom
# crystal system: monoclinic
# final energy: -3.16 eV/atom
# ΔE to the lowest computed polymorph: 0.136 eV/atom


# K2OsBr, relaxed, DFT PBE-GGA
data_K2OsBr
_cell_length_a 4.897
_cell_length_b 4.897
_cell_length_c 6.968
_cell_angle_alpha 90.00
_cell_angle_beta 90.00
_cell_angle_gamma 90.00
_space_group_name_H-M_alt 'P 4 m m'
_space_group_IT_number 99
_space_group_name_Hall 'P 4 -2'
loop_
_atom_site_label
_atom_site_type_symbol
_atom_site_fract_x
_atom_site_fract_y
_atom_site_fract_z
K1 K 0.000 0.000 0.000
K2 K 0.500 0.500 0.500
Os1 Os 0.000 0.000 0.500
Br1 Br 0.500 0.500 0.001
# E_form (uncorrected): 0.65 eV/atom
# crystal system: tetragonal
# final energy: -3.12 eV/atom
# ΔE to the lowest computed polymorph: 0.178 eV/atom


# K3OsBr8, relaxed, DFT PBE-GGA
data_K3OsBr8
_cell_length_a 9.9401
_cell_length_b 9.9401
_cell_length_c 9.6806
_cell_angle_alpha 90.00
_cell_angle_beta 90.00
_cell_angle_gamma 120.00
_space_group_name_H-M_alt 'P 63 m c'
_space_group_IT_number 186
_space_group_name_Hall 'P 6c -2c'
loop_
_atom_site_label
_atom_site_type_symbol
_atom_site_fract_x
_atom_site_fract_y
_atom_site_fract_z
K1 K 0.1505 0.3011 0.0000
Os1 Os 0.3333 0.6667 0.5424
Br1 Br 0.0000 0.0000 0.2336
Br2 Br 0.0980 0.5490 0.6861
Br3 Br 0.2146 0.4291 0.3897
Br4 Br 0.3333 0.6667 0.0207
# E_form (uncorrected): -0.90 eV/atom
# crystal system: hexagonal
# final energy: -3.23 eV/atom


# KOsBr4, relaxed, DFT PBE-GGA
data_KOsBr4
_cell_length_a 9.218
_cell_length_b 9.218
_cell_length_c 9.218
_cell_angle_alpha 90.00
_cell_angle_beta 90.00
_cell_angle_gamma 90.00
_space_group_name_H-M_alt 'F -4 3 m'
_space_group_IT_number 216
_space_group_name_Hall 'F -4 2 3'
loop_
_atom_site_label
_atom_site_type_symbol
_atom_site_fract_x
_atom_site_fract_y
_atom_site_fract_z
K1 K 0.000 0.000 0.000
Os1 Os 0.250 0.250 0.750
Br1 Br 0.125 0.125 0.375
# E_form (uncorrected): 0.96 eV/atom
# crystal system: cubic
# final energy: -2.21 eV/atom


# K2OsBr5, relaxed, DFT PBE-GGA
data_K2OsBr5
_cell_length_a 7.748
_cell_length_b 7.748
_cell_length_c 9.330
_cell_angle_alpha 90.00
_cell_angle_beta 90.00
_cell_angle_gamma 90.00
_space_group_name_H-M_alt 'I 4 m m'
_space_group_IT_number 107
_space_group_name_Hall 'I 4 -2'
loop_
_atom_site_label
_atom_site_type_symbol
_atom_site_fract_x
_atom_site_fract_y
_atom_site_fract_z
K1 K 0.000 0.500 0.000
Os1 Os 0.000 0.000 0.271
Br1 Br 0.000 0.000 0.527
Br2 Br 0.228 0.228 0.248
# E_form (uncorrected): -0.76 eV/atom
# crystal system: tetragonal
# final energy: -3.48 eV/atom


Q: Among the records above, which one has the lowest final energy?
A: K2OsBr5


Q: Among the records above, which one has the lowest E_form (uncorrected)?
A: K3OsBr8


Please write out number 2 again, unchanged.
# K2OsBr, relaxed, DFT PBE-GGA
data_K2OsBr
_cell_length_a 12.766
_cell_length_b 3.387
_cell_length_c 5.940
_cell_angle_alpha 90.00
_cell_angle_beta 90.11
_cell_angle_gamma 90.00
_space_group_name_H-M_alt 'C 1 m 1'
_space_group_IT_number 8
_space_group_name_Hall 'C -2y'
loop_
_atom_site_label
_atom_site_type_symbol
_atom_site_fract_x
_atom_site_fract_y
_atom_site_fract_z
K1 K 0.000 0.000 0.000
K2 K 0.237 0.000 0.498
Os1 Os 0.498 0.000 0.500
Br1 Br 0.230 0.500 0.998
# E_form (uncorrected): 0.61 eV/atom
# crystal system: monoclinic
# final energy: -3.16 eV/atom
# ΔE to the lowest computed polymorph: 0.136 eV/atom


Q: Look up the final energy of the second one.
A: -3.16 eV/atom